Entry from Alexandria: a relaxed TmMnSi3Ru crystal (PBE-GGA).

Cell and atoms, written as POSCAR:
```
TmMnSi3Ru
1.0
-0.359 5.369 -0.299
-6.805 -0.627 -3.073
1.225 0.435 6.335
Si Tm Mn Ru
6 2 2 2
Direct
0.000 0.759 0.000
0.500 0.759 0.000
0.000 0.241 0.000
0.250 0.245 0.489
0.500 0.241 0.000
0.750 0.755 0.511
0.250 0.764 0.528
0.750 0.236 0.472
0.750 0.955 0.910
0.250 0.045 0.090
0.250 0.453 0.905
0.750 0.547 0.095
```

Values from the calculation:
VASP energy = -0.25174 hartree per atom
SG = Cmcm (63)
E_form (uncorrected) = -319 meV per atom

---

Entry from Alexandria: a relaxed CePrNd6 crystal (PBE-GGA).

Cell and atoms, written as POSCAR:
```
CePrNd6
1.0
-4.424 -2.565 0.849
0.414 -2.253 -4.651
5.335 -7.796 4.250
Nd Pr Ce
6 1 1
Direct
0.500 0.500 0.500
0.500 0.500 0.000
0.500 0.000 0.745
0.000 0.500 0.255
0.500 0.000 0.255
0.000 0.500 0.745
0.000 0.000 0.000
0.000 0.000 0.500
```

Values from the calculation:
VASP energy = -0.17896 hartree per atom
relative energy among the computed polymorphs = 0 meV/atom
SG = P4/mmm (123)
formation energy from the elements = 0.045 eV/atom

---

Entry from Alexandria: a relaxed Tb3PrDy2Y6 crystal (PBE-GGA).

Cell and atoms, written as POSCAR:
```
Tb3PrDy2Y6
1.0
6.191 0.002 0.012
-3.093 5.363 0.012
-1.049 -1.817 11.654
Pr Y Dy Tb
1 6 2 3
Direct
0.000 0.000 0.000
0.582 0.916 0.749
0.750 0.750 0.251
0.084 0.418 0.251
0.418 0.084 0.251
0.250 0.250 0.749
0.916 0.582 0.749
0.667 0.333 0.000
0.333 0.667 0.000
0.500 0.500 0.500
0.167 0.833 0.500
0.833 0.167 0.500
```

Values from the calculation:
VASP energy = -0.20348 hartree per atom
SG = C2/m (12)
formation energy from the elements = 0.018 eV/atom

---

- Which value of VASP energy does entry 1 give?
  -0.25174 hartree per atom

---

- Look up the VASP energy of the third one.
  -0.20348 hartree per atom